Compound: Pr14SmTl
Source: the Alexandria database
Functional: PBE
Structure: relaxed

Results
**Energy of formation from the pure elements**: -0.03 eV per atom
**Volume**: 559 Å³ per cell
**Total magnetic moment**: 0.000 μB per atom
**Theoretical density**: 6.92 g cm⁻³
**DOS(E_F)**: 19.7 states/eV/f.u.
**E**: -4.653 eV/atom

abc: 7.327 7.327 10.404
angles: 90.00 90.00 90.00
Sites, in units of the cell vectors:
Pr: 0.375 0.625 0.500
Pr: 0.876 0.124 0.500
Pr: 0.874 0.624 0.000
Pr: 0.875 0.625 0.500
Pr: 0.376 0.126 0.000
Pr: 0.375 0.125 0.500
Pr: 0.623 0.873 0.755
Pr: 0.623 0.873 0.245
Pr: 0.127 0.377 0.755
Pr: 0.127 0.377 0.245
Pr: 0.127 0.873 0.756
Pr: 0.127 0.873 0.244
Pr: 0.623 0.377 0.754
Pr: 0.623 0.377 0.246
Sm: 0.875 0.125 0.000
Tl: 0.375 0.625 0.000